Record 1
VASP calculation (PBE-GGA) on an optimized crystal structure of SrDy2CuO5.

Cell: 12.0886 5.6418 7.1804 Å, 90.00 90.00 90.00°
Space group Pnma (No. 62)
Symmetry-distinct sites (fractional):
Sr  0.0866  0.2500  0.0821 (multiplicity 4)
Dy  0.0732  0.7500  0.3944 (multiplicity 4)
Dy  0.2136  0.2500  0.6130 (multiplicity 4)
Cu  0.1633  0.7500  0.7788 (multiplicity 4)
O  0.0670  0.5076  0.6641 (multiplicity 8)
O  0.0942  0.7500  0.0745 (multiplicity 4)
O  0.2236  0.0061  0.3485 (multiplicity 8)

Values from the calculation:
energy above the lowest structure with this stoichiometry = 0.0 meV per atom
crystal system = orthorhombic
formation energy from raw total energies = -2.70 eV/atom
ρ = 7.5 Mg/m³
final energy = -7.12 eV per atom



Record 2
VASP calculation (PBE-GGA) on an optimized crystal structure of Ga2BiPtO8.

Cell: 6.5585 6.7188 6.3553 Å, 90.00 90.00 90.00°
Space group Cmmm (No. 65)
Symmetry-distinct sites (fractional):
Ga  0.0000  0.0000  0.2448 (multiplicity 4)
Bi  0.0000  0.5000  0.5000 (multiplicity 2)
Pt  0.0000  0.5000  0.0000 (multiplicity 2)
O  0.0000  0.3008  0.2327 (multiplicity 8)
O  0.1788  0.0000  0.5000 (multiplicity 4)
O  0.1953  0.0000  0.0000 (multiplicity 4)

Values from the calculation:
crystal system = orthorhombic
formation energy from raw total energies = -1.07 eV/atom
ρ = 8.0 Mg/m³
final energy = -5.71 eV per atom



Record 3
VASP calculation (PBE-GGA) on an optimized crystal structure of P2SeNCl.

Cell: 4.8820 4.8820 4.6923 Å, 90.00 90.00 90.00°
Space group P4/mmm (No. 123)
Symmetry-distinct sites (fractional):
P  0.0000  0.5000  0.0000 (multiplicity 2)
Se  0.0000  0.0000  0.0000 (multiplicity 1)
N  0.5000  0.5000  0.5000 (multiplicity 1)
Cl  0.0000  0.0000  0.5000 (multiplicity 1)

Values from the calculation:
energy above the lowest structure with this stoichiometry = 970.8 meV per atom
crystal system = tetragonal
formation energy from raw total energies = 2.13 eV/atom
ρ = 2.8 Mg/m³
final energy = -2.76 eV per atom



Record 4
VASP calculation (PBE-GGA) on an optimized crystal structure of Pr4Tm3In.

Cell: 10.1585 7.0319 7.1173 Å, 90.00 90.00 90.00°
Space group Pmn2_1 (No. 31)
Symmetry-distinct sites (fractional):
Pr  0.0000  0.0001  0.0000 (multiplicity 2)
Pr  0.0000  0.4992  0.5002 (multiplicity 2)
Pr  0.2503  0.2538  0.7501 (multiplicity 4)
Tm  0.0000  0.4998  0.0000 (multiplicity 2)
Tm  0.2501  0.2414  0.2501 (multiplicity 4)
In  0.0000  0.9996  0.5002 (multiplicity 2)

Values from the calculation:
crystal system = orthorhombic
DFT formation energy = -0.63 eV/f.u.
ρ = 7.7 Mg/m³
final energy = -4.49 eV per atom



Record 5
VASP calculation (PBE-GGA) on an optimized crystal structure of TcPb2Se.

Cell: 3.2207 3.2207 9.0440 Å, 90.00 90.00 90.00°
Space group P4mm (No. 99)
Symmetry-distinct sites (fractional):
Tc  0.0000  0.0000  0.0000 (multiplicity 1)
Pb  0.0000  0.0000  0.5720 (multiplicity 1)
Pb  0.5000  0.5000  0.2375 (multiplicity 1)
Se  0.5000  0.5000  0.8697 (multiplicity 1)

Values from the calculation:
energy above the lowest structure with this stoichiometry = 65.5 meV per atom
crystal system = tetragonal
formation energy from raw total energies = 0.08 eV/atom
ρ = 10.5 Mg/m³
final energy = -5.24 eV per atom



Record 6
VASP calculation (PBE-GGA) on an optimized crystal structure of Tc3BiO.

Cell: 5.1864 5.1864 5.1864 Å, 90.00 90.00 90.00°
Space group Pm-3m (No. 221)
Symmetry-distinct sites (fractional):
Tc  0.0000  0.0000  0.5000 (multiplicity 3)
Bi  0.0000  0.0000  0.0000 (multiplicity 1)
O  0.5000  0.5000  0.5000 (multiplicity 1)

Values from the calculation:
energy above the lowest structure with this stoichiometry = 2435.3 meV per atom
crystal system = cubic
formation energy from raw total energies = 2.80 eV/atom
ρ = 6.2 Mg/m³
final energy = -5.19 eV per atom



Record 7
VASP calculation (PBE-GGA) on an optimized crystal structure of NaCaB3.

Cell: 4.9177 4.9177 4.9177 Å, 90.00 90.00 90.00°
Space group Pm-3m (No. 221)
Symmetry-distinct sites (fractional):
Na  0.0000  0.0000  0.0000 (multiplicity 1)
Ca  0.5000  0.5000  0.5000 (multiplicity 1)
B  0.0000  0.5000  0.5000 (multiplicity 3)

Values from the calculation:
energy above the lowest structure with this stoichiometry = 250.2 meV per atom
crystal system = cubic
DFT formation energy = 11.56 eV/f.u.
ρ = 1.3 Mg/m³
final energy = -2.36 eV per atom



Record 8
VASP calculation (PBE-GGA) on an optimized crystal structure of YCd.

Cell: 9.0846 9.0846 9.0846 Å, 90.00 90.00 90.00°
Space group I-43m (No. 217)
Symmetry-distinct sites (fractional):
Y  0.1959  0.1959  0.1959 (multiplicity 8)
Cd  0.1182  0.1182  0.8818 (multiplicity 8)

Values from the calculation:
crystal system = cubic
DFT formation energy = 1.30 eV/f.u.
ρ = 3.6 Mg/m³
final energy = -3.04 eV per atom